A geometry-optimized Y2Bi2F structure, computed with PBE-GGA.

Cell and atoms, written as POSCAR:
```
Y2Bi2F
1.0
7.152 0.000 0.000
0.000 7.152 0.000
0.000 0.000 5.030
Y Bi F
4 4 2
Cartesian
1.248 2.328 0.000
2.328 5.904 0.000
4.824 1.248 0.000
5.904 4.824 0.000
1.068 4.644 2.515
2.508 1.068 2.515
4.644 6.084 2.515
6.084 2.508 2.515
0.000 0.000 0.000
3.576 3.576 0.000
```

Computed properties:
magnetic moment: 0.000 μB per formula unit
density: 7.9 g/cm3
energy relative to the elements, uncorrected: -1.294 eV/atom
DOS at the Fermi energy: 3.83 states/eV per cell



A geometry-optimized KCa2La structure, computed with PBE-GGA.

Cell and atoms, written as POSCAR:
```
KCa2La
1.0
2.086 -3.161 0.000
2.086 3.161 0.000
0.000 0.000 13.521
K Ca La
1 2 1
Cartesian
0.000 0.000 0.000
0.000 0.000 6.706
2.086 0.000 9.843
2.086 0.000 3.657
```

Computed properties:
magnetic moment: 0.003 μB per formula unit
density: 2.4 g/cm3
energy relative to the lowest polymorph listed for this composition: 0.0443 eV per atom
DOS at the Fermi energy: 5.99 states/eV per cell
ΔE_f: 170 meV/atom



A geometry-optimized PmErNi structure, computed with PBE-GGA.

Cell and atoms, written as POSCAR:
```
PmErNi
1.0
0.000 3.382 3.382
3.382 0.000 3.382
3.382 3.382 0.000
Pm Er Ni
1 1 1
Cartesian
0.000 0.000 0.000
3.382 3.382 3.382
1.691 1.691 1.691
```

Computed properties:
magnetic moment: 0.000 μB per formula unit
density: 8.0 g/cm3
energy relative to the lowest polymorph listed for this composition: 0.0844 eV per atom
DOS at the Fermi energy: 2.49 states/eV per cell
ΔE_f: -128 meV/atom



A geometry-optimized Tl5Pb2Au5 structure, computed with PBE-GGA.

Cell and atoms, written as POSCAR:
```
Tl5Pb2Au5
1.0
4.673 -2.364 0.000
4.673 2.364 0.000
-3.346 0.000 14.383
Tl Pb Au
5 2 5
Cartesian
0.000 0.000 0.000
-0.085 0.000 8.231
-0.155 0.000 12.217
6.155 0.000 2.166
6.085 0.000 6.152
3.205 0.000 4.114
2.796 0.000 10.269
0.223 0.000 4.156
3.082 0.000 1.048
3.000 0.000 7.192
2.918 0.000 13.335
5.778 0.000 10.227
```

Computed properties:
magnetic moment: 0.000 μB per formula unit
density: 12.7 g/cm3
DOS at the Fermi energy: 4.53 states/eV per cell
ΔE_f: 9 meV/atom



A geometry-optimized Pm4Pr2SmTh structure, computed with PBE-GGA.

Cell and atoms, written as POSCAR:
```
Pm4Pr2SmTh
1.0
5.183 0.000 0.000
0.000 5.182 0.000
0.000 0.000 10.293
Pm Pr Sm Th
4 2 1 1
Cartesian
0.006 0.000 2.516
2.588 2.591 7.762
2.595 2.591 2.531
5.177 0.000 7.778
0.000 2.591 5.147
2.592 0.000 0.000
2.591 0.000 5.147
0.000 2.591 0.000
```

Computed properties:
magnetic moment: 0.000 μB per formula unit
density: 7.5 g/cm3
DOS at the Fermi energy: 11.22 states/eV per cell
ΔE_f: 15 meV/atom



A geometry-optimized LiSnAu structure, computed with PBE-GGA.

Cell and atoms, written as POSCAR:
```
LiSnAu
1.0
0.000 3.197 3.197
3.197 0.000 3.197
3.197 3.197 0.000
Li Sn Au
1 1 1
Cartesian
0.000 0.000 0.000
3.197 3.197 3.197
4.796 4.796 4.796
```

Computed properties:
magnetic moment: 0.000 μB per formula unit
density: 8.2 g/cm3
energy relative to the lowest polymorph listed for this composition: 0.0222 eV per atom
DOS at the Fermi energy: 2.03 states/eV per cell
ΔE_f: -402 meV/atom



A geometry-optimized PrDyCu2 structure, computed with PBE-GGA.

Cell and atoms, written as POSCAR:
```
PrDyCu2
1.0
3.860 0.000 0.000
0.000 4.513 0.000
-1.874 0.000 5.266
Pr Dy Cu
1 1 2
Cartesian
0.000 0.000 0.000
1.958 2.256 2.288
0.043 0.000 3.018
0.042 2.256 4.438
```

Computed properties:
magnetic moment: 0.000 μB per formula unit
density: 7.8 g/cm3
energy relative to the lowest polymorph listed for this composition: 0.0000 eV per atom
DOS at the Fermi energy: 3.07 states/eV per cell
ΔE_f: -198 meV/atom



A geometry-optimized SrCu2Hg structure, computed with PBE-GGA.

Cell and atoms, written as POSCAR:
```
SrCu2Hg
1.0
3.816 -2.205 0.000
3.816 2.205 0.000
-2.568 0.000 5.501
Sr Cu Hg
1 2 1
Cartesian
0.000 0.000 0.000
-0.016 0.000 3.358
2.529 0.000 3.281
5.075 0.000 2.220
```

Computed properties:
magnetic moment: 0.000 μB per formula unit
density: 7.4 g/cm3
energy relative to the lowest polymorph listed for this composition: 0.0000 eV per atom
DOS at the Fermi energy: 1.70 states/eV per cell
ΔE_f: -140 meV/atom



> Which formula does entry 7 have?

PrDyCu2



> What is the density in the fifth record?

7.5 g/cm3



> Which of these has the highest density?

Tl5Pb2Au5